Below is GaHgS after structural relaxation, with properties calculated at the PBE-GGA level.

Cell: 7.874 7.874 6.738 Å, 104.84 104.84 26.15°
Fractional coordinates of all 6 atoms:
Ga 0.063 0.063 0.419
Ga 0.937 0.937 0.581
Hg 0.185 0.185 0.823
Hg 0.815 0.815 0.177
S 0.388 0.388 0.723
S 0.612 0.612 0.277

Properties
formation energy (no corrections)	-0.28	eV/atom
space group	C2/m (12)
ρ	5.652	g/cm3
total DFT energy (no corrections)	-2.766	eV per atom


Below is GaHgS after structural relaxation, with properties calculated at the PBE-GGA level.

Cell: 3.700 3.700 5.650 Å, 90.00 90.00 120.00°
Fractional coordinates of all 3 atoms:
Ga 0.000 0.000 0.000
Hg 0.333 0.667 0.650
S 0.667 0.333 0.212

Properties
formation energy (no corrections)	-0.24	eV/atom
space group	P3m1 (156)
ρ	7.496	g/cm3
D(E_F)	1.19	states/eV per cell
total DFT energy (no corrections)	-2.726	eV per atom


Below is Ga2Hg2S after structural relaxation, with properties calculated at the PBE-GGA level.

Cell: 6.695 6.695 5.326 Å, 90.00 90.00 90.00°
Fractional coordinates of all 10 atoms:
Ga 0.144 0.356 0.000
Ga 0.356 0.856 0.000
Ga 0.644 0.144 0.000
Ga 0.856 0.644 0.000
Hg 0.187 0.687 0.500
Hg 0.313 0.187 0.500
Hg 0.687 0.813 0.500
Hg 0.813 0.313 0.500
S 0.000 0.000 0.000
S 0.500 0.500 0.000

Properties
formation energy (no corrections)	-0.02	eV/atom
space group	P4/mbm (127)
ρ	7.966	g/cm3
D(E_F)	2.32	states/eV per cell
total DFT energy (no corrections)	-2.174	eV per atom


Below is GaHg3S4 after structural relaxation, with properties calculated at the PBE-GGA level.

Cell: 5.940 5.940 5.940 Å, 90.00 90.00 90.00°
Fractional coordinates of all 8 atoms:
Ga 0.000 0.000 0.000
Hg 0.000 0.500 0.500
Hg 0.500 0.000 0.500
Hg 0.500 0.500 0.000
S 0.229 0.229 0.229
S 0.229 0.771 0.771
S 0.771 0.229 0.771
S 0.771 0.771 0.229

Properties
formation energy (no corrections)	-0.21	eV/atom
space group	P-43m (215)
ρ	6.336	g/cm3
D(E_F)	3.67	states/eV per cell
total DFT energy (no corrections)	-2.764	eV per atom


Below is GaHg3S3 after structural relaxation, with properties calculated at the PBE-GGA level.

Cell: 9.274 9.274 5.439 Å, 90.00 90.00 119.77°
Fractional coordinates of all 14 atoms:
Ga 0.167 0.833 0.750
Ga 0.833 0.167 0.250
Hg 0.096 0.298 0.750
Hg 0.298 0.096 0.250
Hg 0.298 0.702 0.250
Hg 0.702 0.298 0.750
Hg 0.702 0.904 0.750
Hg 0.904 0.702 0.250
S 0.109 0.304 0.250
S 0.304 0.109 0.750
S 0.305 0.695 0.750
S 0.695 0.305 0.250
S 0.696 0.891 0.250
S 0.891 0.696 0.750

Properties
formation energy (no corrections)	-0.06	eV/atom
space group	Cmcm (63)
ρ	6.279	g/cm3
D(E_F)	5.41	states/eV per cell
total DFT energy (no corrections)	-2.388	eV per atom


Below is GaHgS after structural relaxation, with properties calculated at the PBE-GGA level.

Cell: 14.270 3.604 3.604 Å, 60.02 90.00 90.00°
Fractional coordinates of all 6 atoms:
Ga 0.183 0.000 0.000
Ga 0.817 0.000 0.000
Hg 0.000 0.000 0.000
Hg 0.500 0.999 0.999
S 0.261 0.333 0.333
S 0.739 0.333 0.333

Properties
formation energy (no corrections)	-0.37	eV/atom
space group	Amm2 (38)
ρ	6.254	g/cm3
D(E_F)	0.45	states/eV per cell
total DFT energy (no corrections)	-2.852	eV per atom


Below is GaHgS4 after structural relaxation, with properties calculated at the PBE-GGA level.

Cell: 12.622 12.622 6.406 Å, 91.87 91.87 156.92°
Fractional coordinates of all 12 atoms:
Ga 0.000 0.000 0.250
Ga 0.000 0.000 0.750
Hg 0.374 0.626 0.750
Hg 0.626 0.374 0.250
S 0.029 0.627 0.154
S 0.161 0.263 0.532
S 0.263 0.161 0.032
S 0.373 0.971 0.346
S 0.627 0.029 0.654
S 0.737 0.839 0.968
S 0.839 0.737 0.468
S 0.971 0.373 0.846

Properties
formation energy (no corrections)	-0.11	eV/atom
space group	C2/c (15)
ρ	3.353	g/cm3
D(E_F)	3.47	states/eV per cell
total DFT energy (no corrections)	-3.412	eV per atom


Below is Ga3HgS after structural relaxation, with properties calculated at the PBE-GGA level.

Cell: 5.127 5.127 5.127 Å, 90.00 90.00 90.00°
Fractional coordinates of all 5 atoms:
Ga 0.000 0.000 0.500
Ga 0.000 0.500 0.000
Ga 0.500 0.000 0.000
Hg 0.000 0.000 0.000
S 0.500 0.500 0.500

Properties
formation energy (no corrections)	0.40	eV/atom
space group	Pm-3m (221)
ρ	5.444	g/cm3
D(E_F)	1.21	states/eV per cell
total DFT energy (no corrections)	-2.298	eV per atom


Below is GaHgS after structural relaxation, with properties calculated at the PBE-GGA level.

Cell: 7.785 7.785 7.785 Å, 152.92 53.50 134.79°
Fractional coordinates of all 6 atoms:
Ga 0.187 0.000 0.187
Ga 0.813 0.000 0.813
Hg 0.505 0.005 0.500
Hg 0.960 0.960 0.000
S 0.184 0.399 0.785
S 0.614 0.399 0.215

Properties
formation energy (no corrections)	-0.37	eV/atom
space group	Imm2 (44)
ρ	6.622	g/cm3
D(E_F)	0.22	states/eV per cell
total DFT energy (no corrections)	-2.856	eV per atom


Below is Ga4HgS7 after structural relaxation, with properties calculated at the PBE-GGA level.

Cell: 15.350 6.511 6.266 Å, 90.00 90.00 90.00°
Fractional coordinates of all 24 atoms:
Ga 0.126 0.151 0.000
Ga 0.240 0.673 0.992
Ga 0.260 0.327 0.492
Ga 0.374 0.849 0.500
Ga 0.626 0.849 0.500
Ga 0.740 0.327 0.492
Ga 0.760 0.673 0.992
Ga 0.874 0.151 0.000
Hg 0.000 0.250 0.531
Hg 0.500 0.750 0.031
S 0.000 0.340 0.921
S 0.118 0.828 0.882
S 0.140 0.147 0.369
S 0.247 0.336 0.871
S 0.253 0.664 0.371
S 0.360 0.853 0.869
S 0.382 0.172 0.382
S 0.500 0.660 0.421
S 0.618 0.172 0.382
S 0.640 0.853 0.869
S 0.747 0.664 0.371
S 0.753 0.336 0.871
S 0.860 0.147 0.369
S 0.882 0.828 0.882

Properties
formation energy (no corrections)	-0.56	eV/atom
space group	Pmn2_1 (31)
ρ	3.733	g/cm3
D(E_F)	0.00	states/eV per cell
total DFT energy (no corrections)	-4.000	eV per atom


Below is GaHg3S4 after structural relaxation, with properties calculated at the PBE-GGA level.

Cell: 8.562 7.188 6.824 Å, 90.00 90.00 90.00°
Fractional coordinates of all 16 atoms:
Ga 0.000 0.179 0.000
Ga 0.500 0.821 0.500
Hg 0.000 0.833 0.512
Hg 0.245 0.677 0.000
Hg 0.255 0.323 0.500
Hg 0.500 0.167 0.012
Hg 0.745 0.323 0.500
Hg 0.755 0.677 0.000
S 0.000 0.186 0.658
S 0.000 0.872 0.109
S 0.225 0.326 0.113
S 0.275 0.674 0.613
S 0.500 0.128 0.609
S 0.500 0.814 0.158
S 0.725 0.674 0.613
S 0.775 0.326 0.113

Properties
formation energy (no corrections)	-0.22	eV/atom
space group	Pmn2_1 (31)
ρ	6.325	g/cm3
D(E_F)	3.87	states/eV per cell
total DFT energy (no corrections)	-2.770	eV per atom


Below is Ga2HgS after structural relaxation, with properties calculated at the PBE-GGA level.

Cell: 7.499 7.499 7.499 Å, 28.56 28.56 28.56°
Fractional coordinates of all 4 atoms:
Ga 0.239 0.239 0.239
Ga 0.761 0.761 0.761
Hg 0.000 0.000 0.000
S 0.500 0.500 0.500

Properties
formation energy (no corrections)	-0.18	eV/atom
space group	R-3m (166)
ρ	7.250	g/cm3
D(E_F)	0.93	states/eV per cell
total DFT energy (no corrections)	-2.804	eV per atom